VCrNi: optimized geometry, PBE.

Properties
E_form (meV per atom): -15
Magnetization (Bohr magnetons per cell): 0.00
Polymorph energy (0 for the lowest one) (meV/atom): 45

Cell: 5.0486 3.9815 8.7035 Å, 90.00 125.38 90.00°
Last column: nearest neighbours and their distance in Å.
Positions (direct):
Ni (0.0068, 0.0000, 0.3018)  3 Cr 2.44-2.62, 3 V 2.45-2.58, 2 Ni 2.51
Ni (0.0068, 0.5000, 0.8018)  3 Cr 2.44-2.62, 3 V 2.45-2.58, 2 Ni 2.51
Ni (0.0016, 0.0000, 0.6241)  4 V 2.43-2.62, 2 Ni 2.51, 2 Cr 2.52-2.61
Ni (0.0016, 0.5000, 0.1241)  4 V 2.43-2.62, 2 Ni 2.51, 2 Cr 2.52-2.61
V (0.5342, 0.0000, 0.6389)  3 Ni 2.44-2.62, 1 V 2.45, 4 Cr 2.47-2.48
V (0.5342, 0.5000, 0.1389)  3 Ni 2.44-2.62, 1 V 2.45, 4 Cr 2.47-2.48
V (0.0095, 0.0000, 0.9673)  3 Cr 2.36-2.53, 4 Ni 2.43-2.45, 1 V 2.45
V (0.0095, 0.5000, 0.4673)  3 Cr 2.36-2.53, 4 Ni 2.43-2.45, 1 V 2.45
Cr (0.5027, 0.0000, 0.9592)  2 Cr 2.46, 4 V 2.48-2.53, 2 Ni 2.52-2.57
Cr (0.5027, 0.5000, 0.4592)  2 Cr 2.46, 4 V 2.48-2.53, 2 Ni 2.52-2.57
Cr (0.4702, 0.0000, 0.2830)  3 V 2.36-2.47, 3 Ni 2.44-2.62, 2 Cr 2.46
Cr (0.4702, 0.5000, 0.7830)  3 V 2.36-2.47, 3 Ni 2.44-2.62, 2 Cr 2.46